## KW6O18 (PBEsol)

Data for KW6O18 after structural relaxation.

Cell: 7.4110 7.4110 7.6164 Å, 90.00 90.00 120.00°
Space group P6/mmm (No. 191)
Inequivalent atoms, fractional coordinates:
K: 0.0000 0.0000 0.0000 [1 per cell]
W: 0.0000 0.5000 0.2505 [6 per cell]
O: 0.0000 0.5000 0.0000 [3 per cell]
O: 0.0000 0.5000 0.5000 [3 per cell]
O: 0.2130 0.4261 0.2481 [12 per cell]

Values from the calculation:
**Uncorrected formation energy**: -2173.2 meV per atom
**Crystal system**: hexagonal



## FeAs4P (PBEsol)

Data for FeAs4P after structural relaxation.

Cell: 7.583 7.583 7.583 Å, 90.00 90.00 90.00°
Space group F-43m (No. 216)
Inequivalent atoms, fractional coordinates:
Fe: 0.000 0.000 0.000 [4 per cell]
As: 0.125 0.125 0.625 [16 per cell]
P: 0.250 0.250 0.250 [4 per cell]

Values from the calculation:
**Crystal system**: cubic
**ΔH_f (0 K)**: 0.8681 eV per atom



## Mg2TaP (PBEsol)

Data for Mg2TaP after structural relaxation.

Cell: 3.743 3.743 4.745 Å, 90.00 90.00 90.00°
Space group P4/mmm (No. 123)
Inequivalent atoms, fractional coordinates:
Mg: 0.000 0.500 0.000 [2 per cell]
Ta: 0.000 0.000 0.500 [1 per cell]
P: 0.500 0.500 0.500 [1 per cell]

Values from the calculation:
**Crystal system**: tetragonal
**ΔH_f (0 K)**: 0.1222 eV per atom



## Ba3LaIr2O9 (PBEsol)

Data for Ba3LaIr2O9 after structural relaxation.

Cell: 5.9252 5.9252 15.0250 Å, 90.00 90.00 120.00°
Space group P6_3/mmc (No. 194)
Inequivalent atoms, fractional coordinates:
Ba: 0.0000 0.0000 0.2500 [2 per cell]
Ba: 0.3333 0.6667 0.1031 [4 per cell]
La: 0.0000 0.0000 0.0000 [2 per cell]
Ir: 0.3333 0.6667 0.6674 [4 per cell]
O: 0.0149 0.5074 0.7500 [6 per cell]
O: 0.1785 0.3571 0.5929 [12 per cell]

Values from the calculation:
**Uncorrected formation energy**: -2101.0 meV per atom
**Crystal system**: hexagonal



## TlMoN2 (PBEsol)

Data for TlMoN2 after structural relaxation.

Cell: 5.701 5.701 5.701 Å, 90.00 90.00 90.00°
Space group Fm-3m (No. 225)
Inequivalent atoms, fractional coordinates:
Tl: 0.000 0.000 0.000 [4 per cell]
Mo: 0.000 0.000 0.500 [4 per cell]
N: 0.250 0.250 0.250 [8 per cell]

Values from the calculation:
**Uncorrected formation energy**: 1332.2 meV per atom
**Crystal system**: cubic



## MgNb2P (PBEsol)

Data for MgNb2P after structural relaxation.

Cell: 3.822 3.822 19.309 Å, 90.00 90.00 90.00°
Space group I-42d (No. 122)
Inequivalent atoms, fractional coordinates:
Mg: 0.000 0.000 0.000 [4 per cell]
Nb: 0.236 0.250 0.625 [8 per cell]
P: 0.000 0.000 0.500 [4 per cell]

Values from the calculation:
**Crystal system**: tetragonal
**ΔH_f (0 K)**: 0.2144 eV per atom



no.,density of states at the Fermi level (states/eV/atom),electronic total energy (eV per atom)
1,0.099,-9.312
2,0.805,-4.995
3,0.678,-5.322
4,0.491,-7.347
5,0.621,-6.531
6,0.820,-7.073